No. 1
A relaxed structure of Cs2KNa2, computed with GGA-PBEsol.

```
data_Cs2KNa2
_chemical_formula_sum 'Cs4 K2 Na4'
_cell_length_a 4.904
_cell_length_b 4.904
_cell_length_c 29.258
_cell_angle_alpha 90.00
_cell_angle_beta 90.00
_cell_angle_gamma 90.00
_space_group_name_H-M_alt 'I 4/m m m'
_space_group_IT_number 139
_space_group_name_Hall '-I 4 2'
loop_
_atom_site_label
_atom_site_type_symbol
_atom_site_fract_x
_atom_site_fract_y
_atom_site_fract_z
Cs1 Cs 0.000 0.000 0.123
K1 K 0.000 0.000 0.500
Na1 Na 0.000 0.500 0.250
```

The value obtained for the energy is -1.117 eV/atom. The volume comes out at 70.37 Å³/atom. The energy above the most stable polymorph in this dataset is 0 kJ/mol of formula units. Its energy of formation is 0.046 eV/atom. The value obtained for the magnetization is 0.00 μB/atom.

***

No. 2
A relaxed structure of Cs2KNa2, computed with GGA-PBEsol.

```
data_Cs2KNa2
_chemical_formula_sum 'Cs4 K2 Na4'
_cell_length_a 6.378
_cell_length_b 6.378
_cell_length_c 18.145
_cell_angle_alpha 90.00
_cell_angle_beta 90.00
_cell_angle_gamma 90.00
_space_group_name_H-M_alt 'I 4/m m m'
_space_group_IT_number 139
_space_group_name_Hall '-I 4 2'
loop_
_atom_site_label
_atom_site_type_symbol
_atom_site_fract_x
_atom_site_fract_y
_atom_site_fract_z
Cs1 Cs 0.000 0.500 0.250
K1 K 0.000 0.000 0.000
Na1 Na 0.000 0.000 0.411
```

The value obtained for the energy is -1.052 eV/atom. The volume comes out at 73.80 Å³/atom. The energy above the most stable polymorph in this dataset is 32 kJ/mol of formula units. Its energy of formation is 0.112 eV/atom. The value obtained for the magnetization is 0.00 μB/atom.